[1]
This record from Alexandria via LeMat-Bulk describes a relaxed structure of BaCrNi2F. The functional is PBE+U.

Results
D(E_F): 0.322 states/eV/atom
magnetic moment: 0.1989 μB/atom
symmetry: P4/mmm (123)
DFT total energy: -0.0390 Ha/atom
crystal system: tetragonal
density: 3.46 g cm⁻³

POSCAR file:
```
BaCrNi2F
1.0
4.844 0.000 0.000
0.000 4.844 0.000
0.000 0.000 6.670
Ba Cr Ni F
1 1 2 1
direct
0.000 0.000 0.000
0.000 0.000 0.500
0.000 0.500 0.000
0.500 0.000 0.000
0.500 0.500 0.500
```

***

[2]
This record from Alexandria via LeMat-Bulk describes a relaxed structure of UCr2CdO6. The functional is PBE+U.

Results
D(E_F): 0.416 states/eV/atom
magnetic moment: 0.8029 μB/atom
symmetry: P4mm (99)
DFT total energy: -0.2694 Ha/atom
crystal system: tetragonal
density: 5.51 g cm⁻³

POSCAR file:
```
UCr2CdO6
1.0
5.646 0.000 0.000
0.000 5.646 0.000
0.000 0.000 5.199
U Cr Cd O
1 2 1 6
direct
0.000 0.000 0.000
0.000 0.500 0.301
0.500 0.000 0.301
0.500 0.500 0.951
0.000 0.000 0.634
0.239 0.239 0.173
0.239 0.761 0.173
0.500 0.500 0.558
0.761 0.239 0.173
0.761 0.761 0.173
```